Entry from Alexandria: an optimized crystal structure of CdCoH2Ir (GGA-PBE).

The total energy comes out at -18.08 eV per formula unit. Its density of states at the Fermi level is 8.61 states/eV per cell. For the total magnetization, the calculation gives 1.62 Bohr magnetons per cell. The space group is No. 123.

Cell lengths 3.6150, 5.0264, 3.6150 Å; angles 90.00, 90.00, 90.00 degrees
Element x y z (fractional)
Cd1 0.0000 0.5000 0.0000
Co1 0.0000 0.0000 0.0000
Ir1 0.5000 0.5000 0.5000
H1 0.5000 0.0000 0.0000
H2 0.0000 0.0000 0.5000